No. 1
K2NaPt2: optimized geometry, PBE.

The density of states at the Fermi level is 5.51 states/eV per cell. The calculation puts the formation energy at 40 kJ/mol of formula units. The energy above the most stable polymorph in this dataset comes out at 0.00 eV per formula unit.

The structure belongs to space group P4/mbm (No. 127); the cell edges are 7.4586, 7.4586 and 5.0811 Å and the angles 90.00°, 90.00° and 90.00°. The asymmetric unit holds K at (0.1690, 0.3310, 0.0000), Na at (0.0000, 0.0000, 0.5000) and Pt at (0.1216, 0.6216, 0.5000).

---

No. 2
Pa2InIr: optimized geometry, PBE.

The density of states at the Fermi level is 14.72 states/eV per cell. The calculation puts the formation energy at 16 kJ/mol of formula units. The energy above the most stable polymorph in this dataset comes out at 1.36 eV per formula unit.

The structure belongs to space group R-3m (No. 166, hexagonal axes); the cell edges are 3.4934, 3.4934 and 31.2211 Å and the angles 90.00°, 90.00° and 120.00°. The asymmetric unit holds Pa at (0.0000, 0.0000, 0.1054), In at (0.0000, 0.0000, 0.0000) and Ir at (0.0000, 0.0000, 0.5000).

---

No. 3
Tb4Dy2ErMg: optimized geometry, PBE.

The density of states at the Fermi level is 11.78 states/eV per cell. The calculation puts the formation energy at 14 kJ/mol of formula units.

The structure belongs to space group P4/mmm (No. 123); the cell edges are 4.9665, 4.9665 and 9.9243 Å and the angles 90.00°, 90.00° and 90.00°. The asymmetric unit holds Tb at (0.0000, 0.5000, 0.2481), Dy at (0.0000, 0.0000, 0.0000), Dy at (0.5000, 0.5000, 0.5000), Er at (0.0000, 0.0000, 0.5000) and Mg at (0.5000, 0.5000, 0.0000).

---

No. 4
Pm3Sn2Pd: optimized geometry, PBE.

The density of states at the Fermi level is 17.68 states/eV per cell. The calculation puts the formation energy at -464 kJ/mol of formula units. The energy above the most stable polymorph in this dataset comes out at 0.00 eV per formula unit.

The structure belongs to space group Pnma (No. 62); the cell edges are 12.4608, 4.5910 and 11.8935 Å and the angles 90.00°, 90.00° and 90.00°. The asymmetric unit holds Pm at (0.0515, 0.2500, 0.1294), Pm at (0.1243, 0.7500, 0.5569), Pm at (0.2277, 0.2500, 0.8021), Sn at (0.0064, 0.7500, 0.3109), Sn at (0.1874, 0.7500, 0.0044) and Pd at (0.1244, 0.2500, 0.3737).

---

No. 5
BaHgW: optimized geometry, PBE.

The density of states at the Fermi level is 3.90 states/eV per cell. The calculation puts the formation energy at 328 kJ/mol of formula units. The energy above the most stable polymorph in this dataset comes out at 0.46 eV per formula unit.

The structure belongs to space group P-6m2 (No. 187); the cell edges are 5.3356, 5.3356 and 3.1045 Å and the angles 90.00°, 90.00° and 120.00°. The asymmetric unit holds Ba at (0.0000, 0.0000, 0.0000), Hg at (0.6667, 0.3333, 0.5000) and W at (0.3333, 0.6667, 0.5000).

---

No. 6
AsWC2: optimized geometry, PBE.

The density of states at the Fermi level is 6.15 states/eV per cell. The calculation puts the formation energy at 382 kJ/mol of formula units.

The structure belongs to space group I-42d (No. 122); the cell edges are 4.8372, 4.8372 and 9.0720 Å and the angles 90.00°, 90.00° and 90.00°. The asymmetric unit holds As at (0.0000, 0.0000, 0.0000), W at (0.0000, 0.0000, 0.5000) and C at (0.2479, 0.2500, 0.1250).